First-principles (PBE-GGA) data for a relaxed SnBr2F crystal, as listed in the Alexandria database.

Calculated values
E_form (uncorrected)   -57 kJ/mol of atoms
Energy above the lowest structure with this stoichiometry   0.534 eV/atom
Symmetry   Fm-3m (225)

a = 7.0093 Å, b = 7.0093 Å, c = 7.0093 Å
α = 90.00°, β = 90.00°, γ = 90.00°
With the nearest neighbours (Å) after each atom.
Sites, in units of the cell vectors:
Sn: 0.0000 0.0000 0.0000  8 Br 3.04
Sn: 0.0000 0.5000 0.5000  8 Br 3.04
Sn: 0.5000 0.0000 0.5000  8 Br 3.04
Sn: 0.5000 0.5000 0.0000  8 Br 3.04
Br: 0.2500 0.2500 0.2500  4 F 3.04, 4 Sn 3.04
Br: 0.2500 0.2500 0.7500  4 F 3.04, 4 Sn 3.04
Br: 0.2500 0.7500 0.2500  4 F 3.04, 4 Sn 3.04
Br: 0.2500 0.7500 0.7500  4 F 3.04, 4 Sn 3.04
Br: 0.7500 0.2500 0.2500  4 F 3.04, 4 Sn 3.04
Br: 0.7500 0.2500 0.7500  4 F 3.04, 4 Sn 3.04
Br: 0.7500 0.7500 0.2500  4 F 3.04, 4 Sn 3.04
Br: 0.7500 0.7500 0.7500  4 F 3.04, 4 Sn 3.04
F: 0.0000 0.0000 0.5000  8 Br 3.04
F: 0.0000 0.5000 0.0000  8 Br 3.04
F: 0.5000 0.0000 0.0000  8 Br 3.04
F: 0.5000 0.5000 0.5000  8 Br 3.04